*A*
Below is an optimized crystal structure of ScZnFeAs, with properties calculated at the GGA-PBE level. Values from VASP.

Summary:
**Symmetry**: No. 216

```
&SYSTEM
  ibrav = 0, nat = 4, ntyp = 4
/
ATOMIC_SPECIES
Fe 55.84 Fe.upf
As 74.92 As.upf
Sc 44.96 Sc.upf
Zn 65.41 Zn.upf
CELL_PARAMETERS angstrom
-1.0407 -2.4413 3.4648
0.0541 1.7497 3.9979
-3.7469 0.7087 2.1227
ATOMIC_POSITIONS crystal
Fe 0.7500 0.7500 0.7500
As 0.0000 0.0000 0.0000
Sc 0.5000 0.5000 0.5000
Zn 0.2500 0.2500 0.2500
```

---

*B*
Below is an optimized crystal structure of ScZnFeAs, with properties calculated at the GGA-PBE level. Values from VASP.

Summary:
**Symmetry**: No. 216

```
&SYSTEM
  ibrav = 0, nat = 4, ntyp = 4
/
ATOMIC_SPECIES
Sc 44.96 Sc.upf
As 74.92 As.upf
Fe 55.84 Fe.upf
Zn 65.41 Zn.upf
CELL_PARAMETERS angstrom
-0.4761 -4.0432 1.5963
-3.6667 -2.2465 -0.7942
0.0845 -3.4400 -2.6984
ATOMIC_POSITIONS crystal
Sc 0.7500 0.7500 0.7500
As 0.0000 0.0000 0.0000
Fe 0.2500 0.2500 0.2500
Zn 0.5000 0.5000 0.5000
```

---

Name the least stable of them. *A*.

---

*A*
Below is an optimized crystal structure of TaFeTcAs, with properties calculated at the GGA-PBE level. Values from VASP.

Summary:
**Symmetry**: No. 216

```
&SYSTEM
  ibrav = 0, nat = 4, ntyp = 4
/
ATOMIC_SPECIES
Ta 180.95 Ta.upf
Fe 55.84 Fe.upf
Tc 98.00 Tc.upf
As 74.92 As.upf
CELL_PARAMETERS angstrom
0.0000 3.1142 3.1142
3.1142 0.0000 3.1142
3.1142 3.1142 0.0000
ATOMIC_POSITIONS crystal
Ta 0.2500 0.2500 0.2500
Fe 0.7500 0.7500 0.7500
Tc 0.5000 0.5000 0.5000
As 0.0000 0.0000 0.0000
```

---

*B*
Below is an optimized crystal structure of TaFeTcAs, with properties calculated at the GGA-PBE level. Values from VASP.

Summary:
**Symmetry**: No. 216

```
&SYSTEM
  ibrav = 0, nat = 4, ntyp = 4
/
ATOMIC_SPECIES
Ta 180.95 Ta.upf
Tc 98.00 Tc.upf
As 74.92 As.upf
Fe 55.84 Fe.upf
CELL_PARAMETERS angstrom
0.0000 3.0648 3.0648
3.0648 0.0000 3.0648
3.0648 3.0648 0.0000
ATOMIC_POSITIONS crystal
Ta 0.5000 0.5000 0.5000
Tc 0.2500 0.2500 0.2500
As 0.0000 0.0000 0.0000
Fe 0.7500 0.7500 0.7500
```

---

Name the least stable of them. *A*.

---

*A*
Below is an optimized crystal structure of TaZnFeAs, with properties calculated at the GGA-PBE level. Values from VASP.

Summary:
**Symmetry**: No. 216

```
&SYSTEM
  ibrav = 0, nat = 4, ntyp = 4
/
ATOMIC_SPECIES
As 74.92 As.upf
Fe 55.84 Fe.upf
Ta 180.95 Ta.upf
Zn 65.41 Zn.upf
CELL_PARAMETERS angstrom
0.9415 -3.9361 1.6705
-3.2178 -2.8469 0.8435
-0.4496 -3.5895 -2.4665
ATOMIC_POSITIONS crystal
As 0.0000 0.0000 0.0000
Fe 0.7500 0.7500 0.7500
Ta 0.5000 0.5000 0.5000
Zn 0.2500 0.2500 0.2500
```

---

*B*
Below is an optimized crystal structure of TaZnFeAs, with properties calculated at the GGA-PBE level. Values from VASP.

Summary:
**Symmetry**: No. 216

```
&SYSTEM
  ibrav = 0, nat = 4, ntyp = 4
/
ATOMIC_SPECIES
Ta 180.95 Ta.upf
Fe 55.84 Fe.upf
As 74.92 As.upf
Zn 65.41 Zn.upf
CELL_PARAMETERS angstrom
-1.7182 -2.4970 3.1407
-4.3027 0.0645 0.7303
-2.4446 -3.4588 -1.0543
ATOMIC_POSITIONS crystal
Ta 0.2500 0.2500 0.2500
Fe 0.7500 0.7500 0.7500
As 0.0000 0.0000 0.0000
Zn 0.5000 0.5000 0.5000
```

---

Name the least stable of them. *A*.

---

*A*
Below is an optimized crystal structure of YFeTcAs, with properties calculated at the GGA-PBE level. Values from VASP.

Summary:
**Symmetry**: No. 216

```
&SYSTEM
  ibrav = 0, nat = 4, ntyp = 4
/
ATOMIC_SPECIES
Fe 55.84 Fe.upf
Tc 98.00 Tc.upf
Y 88.91 Y.upf
As 74.92 As.upf
CELL_PARAMETERS angstrom
0.0000 3.1592 3.1592
3.1592 0.0000 3.1592
3.1592 3.1592 0.0000
ATOMIC_POSITIONS crystal
Fe 0.7500 0.7500 0.7500
Tc 0.2500 0.2500 0.2500
Y 0.5000 0.5000 0.5000
As 0.0000 0.0000 0.0000
```

---

*B*
Below is an optimized crystal structure of YFeTcAs, with properties calculated at the GGA-PBE level. Values from VASP.

Summary:
**Symmetry**: No. 216

```
&SYSTEM
  ibrav = 0, nat = 4, ntyp = 4
/
ATOMIC_SPECIES
As 74.92 As.upf
Fe 55.84 Fe.upf
Tc 98.00 Tc.upf
Y 88.91 Y.upf
CELL_PARAMETERS angstrom
0.0000 3.2747 3.2747
3.2747 0.0000 3.2747
3.2747 3.2747 0.0000
ATOMIC_POSITIONS crystal
As 0.0000 0.0000 0.0000
Fe 0.7500 0.7500 0.7500
Tc 0.5000 0.5000 0.5000
Y 0.2500 0.2500 0.2500
```

---

Name the least stable of them. *B*.

---

*A*
Below is an optimized crystal structure of ZnFe2As, with properties calculated at the GGA-PBE level. Values from VASP.

Summary:
**Symmetry**: No. 221

```
&SYSTEM
  ibrav = 0, nat = 16, ntyp = 3
/
ATOMIC_SPECIES
As 74.92 As.upf
Fe 55.84 Fe.upf
Zn 65.41 Zn.upf
CELL_PARAMETERS angstrom
5.7699 0.0000 0.0000
0.0000 5.7699 0.0000
0.0000 0.0000 5.7699
ATOMIC_POSITIONS crystal
As 0.5000 0.5000 0.5000
As 0.5000 0.0000 0.5000
Fe 0.2600 0.2600 0.2600
Fe 0.2600 0.7400 0.7400
As 0.5000 0.5000 0.0000
Zn 0.5000 0.0000 0.0000
Zn 0.0000 0.0000 0.5000
As 0.0000 0.5000 0.5000
Fe 0.7400 0.7400 0.2600
Zn 0.0000 0.0000 0.0000
Fe 0.7400 0.2600 0.7400
Fe 0.7400 0.7400 0.7400
Zn 0.0000 0.5000 0.0000
Fe 0.2600 0.7400 0.2600
Fe 0.2600 0.2600 0.7400
Fe 0.7400 0.2600 0.2600
```

---

*B*
Below is an optimized crystal structure of ZnFe2As, with properties calculated at the GGA-PBE level. Values from VASP.

Summary:
**Symmetry**: No. 216

```
&SYSTEM
  ibrav = 0, nat = 4, ntyp = 3
/
ATOMIC_SPECIES
Zn 65.41 Zn.upf
Fe 55.84 Fe.upf
As 74.92 As.upf
CELL_PARAMETERS angstrom
0.0000 2.9810 2.9810
2.9810 0.0000 2.9810
2.9810 2.9810 0.0000
ATOMIC_POSITIONS crystal
Zn 0.2500 0.2500 0.2500
Fe 0.0000 0.0000 0.0000
As 0.5000 0.5000 0.5000
Fe 0.7500 0.7500 0.7500
```

---

Name the least stable of them. *B*.

---

*A*
Below is an optimized crystal structure of ZrZnFeAs, with properties calculated at the GGA-PBE level. Values from VASP.

Summary:
**Symmetry**: No. 216

```
&SYSTEM
  ibrav = 0, nat = 4, ntyp = 4
/
ATOMIC_SPECIES
Zn 65.41 Zn.upf
Fe 55.84 Fe.upf
Zr 91.22 Zr.upf
As 74.92 As.upf
CELL_PARAMETERS angstrom
-1.0113 -4.1453 1.2609
-4.0353 -1.6651 -0.8606
-0.4814 -3.1994 -3.0543
ATOMIC_POSITIONS crystal
Zn 0.2500 0.2500 0.2500
Fe 0.7500 0.7500 0.7500
Zr 0.5000 0.5000 0.5000
As 0.0000 0.0000 0.0000
```

---

*B*
Below is an optimized crystal structure of ZrZnFeAs, with properties calculated at the GGA-PBE level. Values from VASP.

Summary:
**Symmetry**: No. 216

```
&SYSTEM
  ibrav = 0, nat = 4, ntyp = 4
/
ATOMIC_SPECIES
Zn 65.41 Zn.upf
As 74.92 As.upf
Zr 91.22 Zr.upf
Fe 55.84 Fe.upf
CELL_PARAMETERS angstrom
-0.5349 1.9675 4.0026
-4.1227 0.9935 1.4813
-1.7755 -2.3102 3.4189
ATOMIC_POSITIONS crystal
Zn 0.5000 0.5000 0.5000
As 0.0000 0.0000 0.0000
Zr 0.2500 0.2500 0.2500
Fe 0.7500 0.7500 0.7500
```

---

Name the least stable of them. *A*.

---

*A*
Below is an optimized crystal structure of GdGaAsO, with properties calculated at the GGA-PBE level. Values from VASP.

Summary:
**Symmetry**: No. 129

```
&SYSTEM
  ibrav = 0, nat = 8, ntyp = 4
/
ATOMIC_SPECIES
As 74.92 As.upf
Ga 69.72 Ga.upf
O 16.00 O.upf
Gd 157.25 Gd.upf
CELL_PARAMETERS angstrom
-0.9713 -4.0836 1.0670
2.4452 0.3480 3.5578
-7.5716 3.0819 4.9021
ATOMIC_POSITIONS crystal
As 0.0000 0.5000 0.6917
As 0.5000 0.0000 0.3083
Ga 0.0000 0.5000 0.9518
O 0.5000 0.5000 0.0000
Ga 0.5000 0.0000 0.0482
O 0.0000 0.0000 0.0000
Gd 0.0000 0.0000 0.5000
Gd 0.5000 0.5000 0.5000
```

---

*B*
Below is an optimized crystal structure of GdGaAsO, with properties calculated at the GGA-PBE level. Values from VASP.

Summary:
**Symmetry**: No. 26

```
&SYSTEM
  ibrav = 0, nat = 8, ntyp = 4
/
ATOMIC_SPECIES
Gd 157.25 Gd.upf
As 74.92 As.upf
Ga 69.72 Ga.upf
O 16.00 O.upf
CELL_PARAMETERS angstrom
4.5293 0.0000 0.0000
0.0000 4.8899 0.0000
0.0000 0.0000 6.4648
ATOMIC_POSITIONS crystal
Gd 0.5000 0.2818 0.6004
As 0.0000 0.3625 0.2902
As 0.0000 0.6375 0.7902
Ga 0.0000 0.1431 0.9357
Gd 0.5000 0.7182 0.1004
O 0.5000 0.1218 0.9277
Ga 0.0000 0.8569 0.4357
O 0.5000 0.8782 0.4277
```

---

Name the least stable of them. *A*.